Compound: NaSrDyMnO6
Source: Alexandria
Functional: PBE+U
Structure: optimized geometry

Results
As for the uncorrected energy: -6.4644 eV per atom. The space-group type is No. 216. Its crystal system is cubic.

a b c (Å): 5.801 5.801 5.801
angles (deg): 60.00 60.00 60.00
Fractional coordinates of all 10 atoms:
Na  0.000  0.000  0.000
Sr  0.500  0.500  0.500
Dy  0.750  0.750  0.750
Mn  0.250  0.250  0.250
O  0.019  0.019  0.481
O  0.019  0.481  0.019
O  0.019  0.481  0.481
O  0.481  0.019  0.019
O  0.481  0.019  0.481
O  0.481  0.481  0.019